1.
PmThPa | PBE | optimized geometry

Output
Calculated formation energy   995.7 meV/atom
Mass density   9.73 g cm⁻³
Offset from the most stable computed form   0.0 meV per atom
Spin magnetization   1.1 Bohr magnetons per cell
Total DFT energy (no corrections)   -6.222 eV per atom

Cell: 7.459 7.459 7.459 Å, 90.00 90.00 90.00°
Space group F-43m (No. 216)
Inequivalent atoms, fractional coordinates:
Pm1 0.000 0.000 0.000 [4 per cell]
Th1 0.000 0.000 0.500 [4 per cell]
Pa1 0.250 0.250 0.250 [4 per cell]


2.
PmTmPa | PBE | optimized geometry

Output
Calculated formation energy   1077.2 meV/atom
Mass density   8.74 g cm⁻³
Offset from the most stable computed form   0.0 meV per atom
Spin magnetization   7.7 Bohr magnetons per cell
Total DFT energy (no corrections)   -5.161 eV per atom

Cell: 7.454 7.454 7.454 Å, 90.00 90.00 90.00°
Space group F-43m (No. 216)
Inequivalent atoms, fractional coordinates:
Pm1 0.000 0.000 0.000 [4 per cell]
Tm1 0.250 0.250 0.750 [4 per cell]
Pa1 0.000 0.000 0.500 [4 per cell]


3.
PmPaZn | PBE | optimized geometry

Output
Calculated formation energy   433.7 meV/atom
Mass density   8.93 g cm⁻³
Offset from the most stable computed form   0.0 meV per atom
Spin magnetization   0.0 Bohr magnetons per cell
Total DFT energy (no corrections)   -4.735 eV per atom

Cell: 6.900 6.900 6.900 Å, 90.00 90.00 90.00°
Space group F-43m (No. 216)
Inequivalent atoms, fractional coordinates:
Pm1 0.000 0.000 0.000 [4 per cell]
Pa1 0.000 0.000 0.500 [4 per cell]
Zn1 0.250 0.250 0.750 [4 per cell]


4.
Pm2Pa5Zn | PBE | optimized geometry

Output
Calculated formation energy   460.5 meV/atom
Mass density   10.39 g cm⁻³
Spin magnetization   0.0 Bohr magnetons per cell
Total DFT energy (no corrections)   -6.819 eV per atom

Cell: 4.193 4.193 13.730 Å, 90.00 90.00 90.00°
Space group P4/mmm (No. 123)
Inequivalent atoms, fractional coordinates:
Pm1 0.000 0.000 0.126 [2 per cell]
Pa1 0.000 0.000 0.500 [1 per cell]
Pa2 0.000 0.500 0.323 [4 per cell]
Zn1 0.500 0.500 0.500 [1 per cell]


5.
PrPaPt | PBE | optimized geometry

Output
Calculated formation energy   -248.0 meV/atom
Mass density   11.04 g cm⁻³
Spin magnetization   2.9 Bohr magnetons per cell
Total DFT energy (no corrections)   -7.023 eV per atom

Cell: 6.987 6.987 6.987 Å, 90.00 90.00 90.00°
Space group F-43m (No. 216)
Inequivalent atoms, fractional coordinates:
Pr1 0.000 0.000 0.000 [4 per cell]
Pa1 0.000 0.000 0.500 [4 per cell]
Pt1 0.250 0.250 0.750 [4 per cell]


6.
RbPrPa | PBE | optimized geometry

Output
Mass density   5.36 g cm⁻³
Spin magnetization   17.0 Bohr magnetons per cell
Total DFT energy (no corrections)   -3.317 eV per atom

Cell: 8.274 8.274 8.274 Å, 90.00 90.00 90.00°
Space group F-43m (No. 216)
Inequivalent atoms, fractional coordinates:
Rb1 0.000 0.000 0.000 [4 per cell]
Pr1 0.250 0.250 0.750 [4 per cell]
Pa1 0.000 0.000 0.500 [4 per cell]


7.
PrPa2Re2 | PBE | optimized geometry

Output
Calculated formation energy   197.6 meV/atom
Mass density   13.61 g cm⁻³
Spin magnetization   0.0 Bohr magnetons per cell
Total DFT energy (no corrections)   -9.525 eV per atom

Cell: 4.255 17.146 6.528 Å, 90.00 91.17 90.00°
Space group Cm (No. 8)
Inequivalent atoms, fractional coordinates:
Pr1 0.000 0.000 0.000 [2 per cell]
Pr2 0.087 0.500 0.499 [2 per cell]
Pa1 0.273 0.307 0.001 [4 per cell]
Pa2 0.314 0.307 0.502 [4 per cell]
Re1 0.293 0.141 0.251 [4 per cell]
Re2 0.294 0.140 0.751 [4 per cell]


8.
PrPaSb | PBE | optimized geometry

Output
Mass density   8.08 g cm⁻³
Spin magnetization   13.2 Bohr magnetons per cell
Total DFT energy (no corrections)   -5.657 eV per atom

Cell: 7.403 7.403 7.403 Å, 90.00 90.00 90.00°
Space group F-43m (No. 216)
Inequivalent atoms, fractional coordinates:
Pr1 0.000 0.000 0.000 [4 per cell]
Pa1 0.250 0.250 0.250 [4 per cell]
Sb1 0.000 0.000 0.500 [4 per cell]